! Li5V3Cr2O10, optimized geometry, DFT PBE+U; values from VASP
! E_tot = -6.880 eV/atom
! DOS(E_F) = 0.00 states/eV/cell
! Volume = 9.44 A^3/atom
! Total moment = 12.0 μB per formula unit
&SYSTEM
  ibrav = 0, nat = 20, ntyp = 4
/
ATOMIC_SPECIES
Li 6.94 Li.upf
V 50.94 V.upf
Cr 52.00 Cr.upf
O 16.00 O.upf
CELL_PARAMETERS angstrom
5.1372 0.0079 0.0071
0.8669 5.1206 0.0229
2.5031 2.0999 7.1905
ATOMIC_POSITIONS angstrom
Li 1.6850 3.6103 3.6067
Li 4.2753 4.9036 3.0237
Li 4.2319 2.3249 4.1967
Li 5.1258 4.7980 5.5564
Li 3.3814 2.4305 1.6641
V 2.5686 0.0040 0.0035
V 2.5058 3.4645 6.4022
V 6.0014 3.7640 0.8182
Cr 2.5543 6.0759 4.9837
Cr 5.9529 1.1526 2.2367
O 4.1964 6.6622 6.2103
O 4.3108 0.5663 1.0101
O 6.8880 5.4300 6.7985
O 1.6192 1.7985 0.4219
O 6.0748 5.5833 3.9518
O 2.4324 1.6453 3.2687
O 2.5091 4.4322 1.7047
O 5.9981 2.7963 5.5157
O 3.3265 4.2305 4.8054
O 5.1807 2.9980 2.4150